NaAc12Sn7, relaxed, DFT GGA-PBE; DFT formation energy = -0.40 eV/atom; total energy = -4.3304 eV/atom; density = 7.8 g/cm3; spin magnetization = 0.000 μB/f.u.; volume = 38.0 A^3/atom; symmetry = No. 148
1.0
9.758 -0.129 -0.194
-2.838 9.338 -0.194
-2.838 -3.776 8.542
Sn Ac Na
7 12 1
Direct
0.903 0.364 0.019
0.636 0.981 0.097
0.500 0.500 0.500
0.019 0.903 0.364
0.364 0.019 0.903
0.981 0.097 0.636
0.097 0.636 0.981
0.344 0.017 0.247
0.983 0.753 0.656
0.753 0.656 0.983
0.247 0.344 0.017
0.656 0.983 0.753
0.376 0.211 0.671
0.789 0.329 0.624
0.211 0.671 0.376
0.329 0.624 0.789
0.624 0.789 0.329
0.671 0.376 0.211
0.017 0.247 0.344
0.000 0.000 0.000

=====

Na4AcSn2, relaxed, DFT GGA-PBE; DFT formation energy = -0.25 eV/atom; total energy = -2.7319 eV/atom; density = 4.0 g/cm3; spin magnetization = 0.000 μB/f.u.; volume = 32.7 A^3/atom; symmetry = No. 65
1.0
4.753 0.000 0.000
0.000 4.703 0.000
0.000 -2.352 10.236
Na Ac Sn
4 1 2
Direct
0.500 0.176 0.352
0.000 0.324 0.649
0.500 0.824 0.648
0.000 0.676 0.351
0.000 0.000 0.000
0.500 0.431 0.862
0.500 0.569 0.138